VASP calculation (meta-GGA SCAN) on a PBEsol-optimized structure of TiHAu2.

Computed properties:
energy = -2.901 Ry per atom
offset from the most stable computed form = 0.0000 eV/atom

a = 6.6699 Å, b = 6.6699 Å, c = 4.9094 Å
α = 90.00°, β = 90.00°, γ = 90.00°
Space group I-42d (No. 122)
Inequivalent atoms, fractional coordinates:
Ti 0.0000 0.0000 0.0000 (multiplicity 4)
H 0.0000 0.0000 0.5000 (multiplicity 4)
Au 0.1586 0.2500 0.6250 (multiplicity 8)